The following is a PBE calculation of a relaxed structure of Sc2ZnTc, from the Alexandria database.

For the formation energy, the calculation gives -89.1 meV/atom.

The structure belongs to space group R-3m (No. 166, hexagonal axes); the cell edges are 3.2213, 3.2213 and 25.3241 Å and the angles 90.00°, 90.00° and 120.00°. The distinct sites, in fractional coordinates, are Sc at (0.0000, 0.0000, 0.2437), Zn at (0.0000, 0.0000, 0.0000) and Tc at (0.0000, 0.0000, 0.5000).